Na14Zn2Te9 | Alexandria | GGA-PBE | relaxed; N(E_F) = 0.000 states/eV/atom; total DFT energy (no corrections) = -70.34 eV/cell
1.0
8.831 0.000 0.000
-4.415 7.648 0.000
0.000 0.000 12.339
Na Zn Te
14 2 9
Direct
0.000 0.000 0.248
0.000 0.000 0.752
0.024 0.674 0.411
0.058 0.375 0.093
0.317 0.942 0.093
0.326 0.350 0.411
0.350 0.024 0.589
0.375 0.317 0.907
0.625 0.683 0.093
0.650 0.976 0.411
0.674 0.650 0.589
0.683 0.058 0.907
0.942 0.625 0.907
0.976 0.326 0.589
0.333 0.667 0.757
0.667 0.333 0.243
0.000 0.000 0.500
0.057 0.361 0.836
0.304 0.943 0.836
0.333 0.667 0.535
0.361 0.304 0.164
0.639 0.696 0.836
0.667 0.333 0.465
0.696 0.057 0.164
0.943 0.639 0.164

HoMg4Hg2 | Alexandria | GGA-PBE | relaxed; ΔE to the lowest computed polymorph = 0 meV/atom; N(E_F) = 0.483 states/eV/atom; total DFT energy (no corrections) = -26.18 eV/cell; energy relative to the elements = -219 meV/atom
1.0
8.384 0.000 0.000
0.000 8.384 0.000
0.000 0.000 4.604
Ho Mg Hg
2 8 4
Direct
0.000 0.000 0.000
0.500 0.500 0.500
0.100 0.347 0.500
0.153 0.600 0.000
0.347 0.100 0.500
0.400 0.847 0.000
0.600 0.153 0.000
0.653 0.900 0.500
0.847 0.400 0.000
0.900 0.653 0.500
0.202 0.798 0.500
0.298 0.298 0.000
0.702 0.702 0.000
0.798 0.202 0.500

Tl3VPt | Alexandria | GGA-PBE | relaxed; ΔE to the lowest computed polymorph = 0 meV/atom; N(E_F) = 2.002 states/eV/atom; total DFT energy (no corrections) = -18.86 eV/cell; energy relative to the elements = 679 meV/atom
1.0
5.318 0.000 0.000
0.000 5.318 0.000
0.000 0.000 5.318
Tl V Pt
3 1 1
Direct
0.000 0.000 0.500
0.000 0.500 0.000
0.500 0.000 0.000
0.500 0.500 0.500
0.000 0.000 0.000